1.
First-principles (PBE) data for a relaxed structure of HfZnO2F, as listed in the Alexandria database.

Properties
Fermi-level density of states in states/eV per cell: 2.46
Formation energy without anion corrections in eV/atom: -1.332
Magnetic moment in μB/atom: 0.090

Cell: 3.9494 3.9494 3.7588 Å, 90.00 90.00 90.00°
Space group P4/mmm (No. 123)
Symmetry-distinct sites (fractional):
Hf: 0.0000 0.0000 0.0000
Zn: 0.5000 0.5000 0.5000
O: 0.0000 0.5000 0.5000
F: 0.5000 0.5000 0.0000



2.
First-principles (PBE) data for a relaxed structure of HfZnO2F, as listed in the Alexandria database.

Properties
Fermi-level density of states in states/eV per cell: 1.80
Formation energy without anion corrections in eV/atom: -2.329
Magnetic moment in μB/atom: 0.000

Cell: 4.1069 4.1069 4.1604 Å, 90.00 90.00 90.00°
Space group P4/mmm (No. 123)
Symmetry-distinct sites (fractional):
Hf: 0.0000 0.0000 0.0000
Zn: 0.5000 0.5000 0.5000
O: 0.0000 0.5000 0.0000
F: 0.0000 0.0000 0.5000



3.
First-principles (PBE) data for a relaxed structure of HfZr2OF, as listed in the Alexandria database.

Properties
Fermi-level density of states in states/eV per cell: 6.00
Formation energy without anion corrections in eV/atom: -0.897
Magnetic moment in μB/atom: 0.000

Cell: 4.6153 4.6153 4.1196 Å, 90.00 90.00 90.00°
Space group P4/mmm (No. 123)
Symmetry-distinct sites (fractional):
Hf: 0.0000 0.0000 0.0000
Zr: 0.0000 0.5000 0.5000
O: 0.0000 0.0000 0.5000
F: 0.5000 0.5000 0.0000



4.
First-principles (PBE) data for a relaxed structure of HfOs2F, as listed in the Alexandria database.

Properties
Fermi-level density of states in states/eV per cell: 20.93
Formation energy without anion corrections in eV/atom: 0.418
Magnetic moment in μB/atom: 0.000

Cell: 6.2846 6.2846 6.2846 Å, 90.00 90.00 90.00°
Space group Fm-3m (No. 225)
Symmetry-distinct sites (fractional):
Hf: 0.0000 0.0000 0.0000
Os: 0.2500 0.2500 0.2500
F: 0.0000 0.0000 0.5000



5.
First-principles (PBE) data for a relaxed structure of Hf2OsF, as listed in the Alexandria database.

Properties
Fermi-level density of states in states/eV per cell: 18.17
Formation energy without anion corrections in eV/atom: -0.775
Magnetic moment in μB/atom: 0.000

Cell: 6.4574 6.4574 6.4574 Å, 90.00 90.00 90.00°
Space group Fm-3m (No. 225)
Symmetry-distinct sites (fractional):
Hf: 0.2500 0.2500 0.2500
Os: 0.0000 0.0000 0.0000
F: 0.0000 0.0000 0.5000



6.
First-principles (PBE) data for a relaxed structure of HfOs2F, as listed in the Alexandria database.

Properties
Fermi-level density of states in states/eV per cell: 11.76
Formation energy without anion corrections in eV/atom: -0.119
Magnetic moment in μB/atom: 0.000

Cell: 3.5168 3.5168 20.7576 Å, 90.00 90.00 90.00°
Space group I-42d (No. 122)
Symmetry-distinct sites (fractional):
Hf: 0.0000 0.0000 0.0000
Os: 0.2475 0.2500 0.6250
F: 0.0000 0.0000 0.5000



Question: Which value of formation energy without anion corrections does entry 2 give?
Answer: -2.329 eV/atom



Question: Among the records above, which one has the highest magnetic moment?
Answer: number 1